Record 1
VASP calculation (PBE-GGA) on a geometry-optimized SmHoRh structure.

## Properties
- Energy relative to the elements: -0.517 eV per atom
- Energy: -6.066 eV per atom
- Total moment: 0.00 μB/f.u.
- ΔE to the lowest computed polymorph: 27 meV per atom
- Calculated volume: 154 Å³/cell

Structure (CIF):
```
data_SmHoRh
_chemical_formula_sum 'Sm2 Ho2 Rh2'
_symmetry_space_group_name_H-M 'I 4 m m'
_symmetry_Int_Tables_number 107
_symmetry_space_group_name_Hall 'I 4 -2'
_cell_length_a 3.476
_cell_length_b 3.476
_cell_length_c 12.758
_cell_angle_alpha 90.00
_cell_angle_beta 90.00
_cell_angle_gamma 90.00
loop_
_atom_site_label
_atom_site_fract_x
_atom_site_fract_y
_atom_site_fract_z
Sm1 0.000 0.000 0.000
Ho1 0.000 0.000 0.740
Rh1 0.000 0.000 0.363
```



Record 2
VASP calculation (PBE-GGA) on a geometry-optimized KVInH2 structure.

## Properties
- Energy: -2.990 eV per atom
- Total moment: 4.48 μB/f.u.
- Calculated volume: 104 Å³/cell

Structure (CIF):
```
data_KVInH2
_chemical_formula_sum 'K1 V1 In1 H2'
_symmetry_space_group_name_H-M 'P 4/m m m'
_symmetry_Int_Tables_number 123
_symmetry_space_group_name_Hall '-P 4 2'
_cell_length_a 4.339
_cell_length_b 4.339
_cell_length_c 5.547
_cell_angle_alpha 90.00
_cell_angle_beta 90.00
_cell_angle_gamma 90.00
loop_
_atom_site_label
_atom_site_fract_x
_atom_site_fract_y
_atom_site_fract_z
K1 0.000 0.000 0.000
V1 0.500 0.500 0.000
In1 0.500 0.500 0.500
H1 0.000 0.500 0.500
```



Record 3
VASP calculation (PBE-GGA) on a geometry-optimized Pm2Pr6Sm structure.

## Properties
- Energy relative to the elements: 0.579 eV per atom
- Energy: -4.188 eV per atom
- Total moment: 0.00 μB/f.u.
- ΔE to the lowest computed polymorph: 454 meV per atom
- Calculated volume: 744 Å³/cell

Structure (CIF):
```
data_Pm2Pr6Sm
_chemical_formula_sum 'Pm4 Pr12 Sm2'
_symmetry_space_group_name_H-M 'P 42/m n m'
_symmetry_Int_Tables_number 136
_symmetry_space_group_name_Hall '-P 4n 2n'
_cell_length_a 8.351
_cell_length_b 8.351
_cell_length_c 10.675
_cell_angle_alpha 90.00
_cell_angle_beta 90.00
_cell_angle_gamma 90.00
loop_
_atom_site_label
_atom_site_fract_x
_atom_site_fract_y
_atom_site_fract_z
Pm1 0.000 0.000 0.167
Pr1 0.238 0.238 0.000
Pr2 0.238 0.238 0.333
Sm1 0.000 0.000 0.500
```



Record 4
VASP calculation (PBE-GGA) on a geometry-optimized CrGaRu structure.

## Properties
- Energy relative to the elements: -0.137 eV per atom
- Energy: -7.445 eV per atom
- Total moment: 0.00 μB/f.u.
- Calculated volume: 79 Å³/cell

Structure (CIF):
```
data_CrGaRu
_chemical_formula_sum 'Cr2 Ga2 Ru2'
_symmetry_space_group_name_H-M 'I 4 m m'
_symmetry_Int_Tables_number 107
_symmetry_space_group_name_Hall 'I 4 -2'
_cell_length_a 2.926
_cell_length_b 2.926
_cell_length_c 9.272
_cell_angle_alpha 90.00
_cell_angle_beta 90.00
_cell_angle_gamma 90.00
loop_
_atom_site_label
_atom_site_fract_x
_atom_site_fract_y
_atom_site_fract_z
Cr1 0.000 0.000 0.000
Ga1 0.000 0.000 0.333
Ru1 0.000 0.000 0.657
```



Record 5
VASP calculation (PBE-GGA) on a geometry-optimized Tm2ScPd3 structure.

## Properties
- Energy relative to the elements: -0.920 eV per atom
- Energy: -6.062 eV per atom
- Total moment: 0.00 μB/f.u.
- ΔE to the lowest computed polymorph: 2 meV per atom
- Calculated volume: 119 Å³/cell

Structure (CIF):
```
data_Tm2ScPd3
_chemical_formula_sum 'Tm2 Sc1 Pd3'
_symmetry_space_group_name_H-M 'P 4/m m m'
_symmetry_Int_Tables_number 123
_symmetry_space_group_name_Hall '-P 4 2'
_cell_length_a 3.408
_cell_length_b 3.408
_cell_length_c 10.267
_cell_angle_alpha 90.00
_cell_angle_beta 90.00
_cell_angle_gamma 90.00
loop_
_atom_site_label
_atom_site_fract_x
_atom_site_fract_y
_atom_site_fract_z
Tm1 0.000 0.000 0.171
Sc1 0.000 0.000 0.500
Pd1 0.500 0.500 0.000
Pd2 0.500 0.500 0.346
```



Record 6
VASP calculation (PBE-GGA) on a geometry-optimized NaHfMn2 structure.

## Properties
- Energy relative to the elements: 0.670 eV per atom
- Energy: -6.733 eV per atom
- Total moment: 5.52 μB/f.u.
- ΔE to the lowest computed polymorph: 0 meV per atom
- Calculated volume: 285 Å³/cell

Structure (CIF):
```
data_NaHfMn2
_chemical_formula_sum 'Na4 Hf4 Mn8'
_symmetry_space_group_name_H-M 'F m -3 m'
_symmetry_Int_Tables_number 225
_symmetry_space_group_name_Hall '-F 4 2 3'
_cell_length_a 6.580
_cell_length_b 6.580
_cell_length_c 6.580
_cell_angle_alpha 90.00
_cell_angle_beta 90.00
_cell_angle_gamma 90.00
loop_
_atom_site_label
_atom_site_fract_x
_atom_site_fract_y
_atom_site_fract_z
Na1 0.000 0.000 0.000
Hf1 0.000 0.000 0.500
Mn1 0.250 0.250 0.250
```



Record 7
VASP calculation (PBE-GGA) on a geometry-optimized Co2AsOs structure.

## Properties
- Energy relative to the elements: 0.187 eV per atom
- Energy: -7.335 eV per atom
- Total moment: 0.82 μB/f.u.
- Calculated volume: 152 Å³/cell

Structure (CIF):
```
data_Co2AsOs
_chemical_formula_sum 'Co6 As3 Os3'
_symmetry_space_group_name_H-M 'R -3 m'
_symmetry_Int_Tables_number 166
_symmetry_space_group_name_Hall '-R 3 2"'
_cell_length_a 2.7264
_cell_length_b 2.7264
_cell_length_c 23.6037
_cell_angle_alpha 90.00
_cell_angle_beta 90.00
_cell_angle_gamma 120.00
loop_
_atom_site_label
_atom_site_fract_x
_atom_site_fract_y
_atom_site_fract_z
Co1 0.0000 0.0000 0.2458
As1 0.0000 0.0000 0.5000
Os1 0.0000 0.0000 0.0000
```



Record 8
VASP calculation (PBE-GGA) on a geometry-optimized RbPPtO2 structure.

## Properties
- Energy: -2.993 eV per atom
- Formation energy (no corrections): 1.474 eV per atom
- Total moment: 0.29 μB/f.u.
- ΔE to the lowest computed polymorph: 1415 meV per atom
- Calculated volume: 127 Å³/cell

Structure (CIF):
```
data_RbPPtO2
_chemical_formula_sum 'Rb1 P1 Pt1 O2'
_symmetry_space_group_name_H-M 'P 4/m m m'
_symmetry_Int_Tables_number 123
_symmetry_space_group_name_Hall '-P 4 2'
_cell_length_a 3.900
_cell_length_b 3.900
_cell_length_c 8.326
_cell_angle_alpha 90.00
_cell_angle_beta 90.00
_cell_angle_gamma 90.00
loop_
_atom_site_label
_atom_site_fract_x
_atom_site_fract_y
_atom_site_fract_z
Rb1 0.000 0.000 0.000
P1 0.000 0.000 0.500
Pt1 0.500 0.500 0.500
O1 0.000 0.500 0.000
```



Record 9
VASP calculation (PBE-GGA) on a geometry-optimized LaTcC3 structure.

## Properties
- Energy relative to the elements: 0.678 eV per atom
- Energy: -7.915 eV per atom
- Total moment: 0.00 μB/f.u.
- ΔE to the lowest computed polymorph: 0 meV per atom
- Calculated volume: 67 Å³/cell

Structure (CIF):
```
data_LaTcC3
_chemical_formula_sum 'La1 Tc1 C3'
_symmetry_space_group_name_H-M 'P m -3 m'
_symmetry_Int_Tables_number 221
_symmetry_space_group_name_Hall '-P 4 2 3'
_cell_length_a 4.061
_cell_length_b 4.061
_cell_length_c 4.061
_cell_angle_alpha 90.00
_cell_angle_beta 90.00
_cell_angle_gamma 90.00
loop_
_atom_site_label
_atom_site_fract_x
_atom_site_fract_y
_atom_site_fract_z
La1 0.000 0.000 0.000
Tc1 0.500 0.500 0.500
C1 0.000 0.500 0.500
```



Record 10
VASP calculation (PBE-GGA) on a geometry-optimized Na2SrPb2 structure.

## Properties
- Energy relative to the elements: -0.237 eV per atom
- Energy: -2.585 eV per atom
- Total moment: 0.00 μB/f.u.
- ΔE to the lowest computed polymorph: 35 meV per atom
- Calculated volume: 366 Å³/cell

Structure (CIF):
```
data_Na2SrPb2
_chemical_formula_sum 'Na4 Sr2 Pb4'
_symmetry_space_group_name_H-M 'C 1 2/m 1'
_symmetry_Int_Tables_number 12
_cell_length_a 11.334
_cell_length_b 4.874
_cell_length_c 6.627
_cell_angle_alpha 90.00
_cell_angle_beta 91.53
_cell_angle_gamma 90.00
loop_
_symmetry_equiv_pos_as_xyz
'x,y,z'
'-x,-y,-z'
'-x,y,-z'
'x,-y,z'
'x+1/2,y+1/2,z'
'-x+1/2,-y+1/2,-z'
'-x+1/2,y+1/2,-z'
'x+1/2,-y+1/2,z'
loop_
_atom_site_label
_atom_site_fract_x
_atom_site_fract_y
_atom_site_fract_z
Na1 0.152 0.000 0.374
Sr1 0.000 0.500 0.000
Pb1 0.202 0.000 0.859
```



Record 11
VASP calculation (PBE-GGA) on a geometry-optimized YTaIn2 structure.

## Properties
- Energy relative to the elements: 0.136 eV per atom
- Energy: -5.813 eV per atom
- Total moment: 0.00 μB/f.u.
- Calculated volume: 95 Å³/cell

Structure (CIF):
```
data_YTaIn2
_chemical_formula_sum 'Y1 Ta1 In2'
_symmetry_space_group_name_H-M 'P 4 m m'
_symmetry_Int_Tables_number 99
_cell_length_a 3.166
_cell_length_b 3.166
_cell_length_c 9.450
_cell_angle_alpha 90.00
_cell_angle_beta 90.00
_cell_angle_gamma 90.00
loop_
_symmetry_equiv_pos_as_xyz
'x,y,z'
'-y,x,z'
'-x,-y,z'
'y,-x,z'
'-x,y,z'
'y,x,z'
'x,-y,z'
'-y,-x,z'
loop_
_atom_site_label
_atom_site_fract_x
_atom_site_fract_y
_atom_site_fract_z
Y1 0.000 0.000 0.000
Ta1 0.500 0.500 0.761
In1 0.000 0.000 0.536
In2 0.500 0.500 0.275
```



Record 12
VASP calculation (PBE-GGA) on a geometry-optimized ZnCuMo structure.

## Properties
- Energy relative to the elements: 0.967 eV per atom
- Energy: -4.434 eV per atom
- Total moment: 0.00 μB/f.u.
- ΔE to the lowest computed polymorph: 890 meV per atom
- Calculated volume: 206 Å³/cell

Structure (CIF):
```
data_ZnCuMo
_chemical_formula_sum 'Zn4 Cu4 Mo4'
_symmetry_space_group_name_H-M 'F -4 3 m'
_symmetry_Int_Tables_number 216
_symmetry_space_group_name_Hall 'F -4 2 3'
_cell_length_a 5.907
_cell_length_b 5.907
_cell_length_c 5.907
_cell_angle_alpha 90.00
_cell_angle_beta 90.00
_cell_angle_gamma 90.00
loop_
_atom_site_label
_atom_site_fract_x
_atom_site_fract_y
_atom_site_fract_z
Zn1 0.000 0.000 0.000
Cu1 0.000 0.000 0.500
Mo1 0.250 0.250 0.750
```